VASP calculation (PBE) on Ca2ZrW after structural relaxation.

Cell lengths 8.6888, 8.6888, 6.7745 Å; angles 50.11, 50.11, 90.00 degrees
Last column: nearest neighbours and their distance in Å.
Sites, in units of the cell vectors:
Ca 0.6599 0.1250 0.2500  2 Ca 2.92, 2 W 2.95
Ca 0.0901 0.6250 0.2500  2 Ca 2.92, 2 W 2.95
Ca 0.3750 0.3401 0.7500  2 Ca 2.92, 2 W 2.95
Ca 0.8750 0.9099 0.7500  2 Ca 2.92, 2 W 2.95
Zr 0.5000 0.5000 0.0000  2 W 2.85
Zr 0.2500 0.7500 0.5000  2 W 2.85
W 0.0000 0.0000 0.0000  2 Zr 2.85, 4 Ca 2.95
W 0.7500 0.2500 0.5000  2 Zr 2.85, 4 Ca 2.95

Computed properties:
DFT formation energy	4.98	eV/f.u.
symmetry	No. 122
raw total energy	-5.13	eV/atom

VASP calculation (PBE) on LaMgMn3 after structural relaxation.

Cell lengths 4.8727, 4.8727, 4.8727 Å; angles 90.00, 90.00, 90.00 degrees
Last column: nearest neighbours and their distance in Å.
Sites, in units of the cell vectors:
Mg 0.0000 0.0000 0.0000  6 Mn 2.44
Mn 0.0000 0.5000 0.0000  2 Mg 2.44
Mn 0.0000 0.0000 0.5000  2 Mg 2.44
Mn 0.5000 0.0000 0.0000  2 Mg 2.44
La 0.5000 0.5000 0.5000  12 Mn 3.45

Computed properties:
DFT formation energy	4.41	eV/f.u.
symmetry	No. 221
raw total energy	-5.92	eV/atom

VASP calculation (PBE) on TmInTe2 after structural relaxation.

Cell lengths 4.3494, 4.3494, 8.6566 Å; angles 75.45, 75.45, 60.00 degrees
Last column: nearest neighbours and their distance in Å.
Sites, in units of the cell vectors:
Tm 0.6671 0.6671 0.9987  6 Te 3.06-3.07
In 0.4993 0.4993 0.5021  6 Te 3.45-3.48
Te 0.0710 0.0710 0.7871  3 Tm 3.06
Te 0.2626 0.2626 0.2121  3 Tm 3.07

Computed properties:
symmetry	No. 160
raw total energy	-4.30	eV/atom
E_form (uncorrected)	-0.93	eV per atom

VASP calculation (PBE) on TiAsS2Cl after structural relaxation.

Cell lengths 4.7671, 4.7671, 4.6209 Å; angles 90.00, 90.00, 90.00 degrees
Last column: nearest neighbours and their distance in Å.
Sites, in units of the cell vectors:
As 0.5000 0.5000 0.5000  8 S 3.32, 4 Cl 3.37
Cl 0.0000 0.0000 0.5000  2 Ti 2.31
S 0.0000 0.5000 0.0000  2 Ti 2.38
S 0.5000 0.0000 0.0000  2 Ti 2.38
Ti 0.0000 0.0000 0.0000  2 Cl 2.31, 4 S 2.38

Computed properties:
symmetry	No. 123
raw total energy	-4.75	eV/atom
E_form (uncorrected)	-0.22	eV per atom

VASP calculation (PBE) on InTeSe2Br after structural relaxation.

Cell lengths 5.4273, 5.4273, 5.6716 Å; angles 90.00, 90.00, 90.00 degrees
Last column: nearest neighbours and their distance in Å.
Sites, in units of the cell vectors:
Te 0.0000 0.0000 0.0000  4 Se 2.71, 2 Br 2.84
Se 0.0000 0.5000 0.0000  2 Te 2.71
Se 0.5000 0.0000 0.0000  2 Te 2.71
Br 0.0000 0.0000 0.5000  2 Te 2.84
In 0.5000 0.5000 0.5000  4 Br 3.84, 8 Se 3.93

Computed properties:
symmetry	No. 123
raw total energy	-2.89	eV/atom
E_form (uncorrected)	0.01	eV per atom

VASP calculation (PBE) on CaAcGa after structural relaxation.

Cell lengths 5.3378, 5.3378, 5.3378 Å; angles 60.00, 60.00, 60.00 degrees
Last column: nearest neighbours and their distance in Å.
Sites, in units of the cell vectors:
Ac 0.0000 0.0000 0.0000  4 Ga 3.27
Ca 0.5000 0.5000 0.5000  4 Ga 3.27
Ga 0.2500 0.2500 0.2500  4 Ac 3.27, 4 Ca 3.27

Computed properties:
DFT formation energy	-0.78	eV/f.u.
symmetry	No. 216
raw total energy	-3.30	eV/atom